PrNiSn2Rh | PBE | relaxed

Properties
Crystal system: tetragonal
Space-group type: I-4m2 (119)
ΔH_f (0 K), eV per atom: -0.534
E_tot, eV/atom: -5.718
ρ, Mg/m³: 8.217

The structure in POSCAR format:
```
PrNiSn2Rh
1.0
4.487 0.000 0.000
0.000 4.487 0.000
-2.243 -2.243 5.420
Pr Ni Sn Rh
1 1 2 1
Direct
0.000 0.000 0.000
0.250 0.750 0.500
0.633 0.633 0.265
0.367 0.367 0.735
0.750 0.250 0.500
```